# 1
## LiCrAs2 (PBE)

Data for a relaxed LiCrAs2 crystal.

- energy of formation (eV/atom) = -0.1568
- V (Å³/cell) = 133
- relative energy among the computed polymorphs (meV per atom) = 110

abc: 9.363 3.580 4.131
angles: 90.00 106.66 90.00
Space group Cm (No. 8)
Unique sites:
Li (0.000, 0.000, 0.000)
Cr (0.269, 0.500, 0.414)
As (0.262, 0.000, 0.926)
As (0.486, 0.000, 0.449)

=====

# 2
## Li2CrAs (PBE)

Data for a relaxed Li2CrAs crystal.

- energy of formation (eV/atom) = 0.0451
- V (Å³/cell) = 126

abc: 5.052 9.304 2.924
angles: 90.00 114.00 90.00
Space group C2/m (No. 12)
Unique sites:
Li (0.250, 0.250, 0.000)
Cr (0.000, 0.000, 0.500)
As (0.000, 0.500, 0.500)

=====

# 3
## Li2CrAs (PBE)

Data for a relaxed Li2CrAs crystal.

- energy of formation (eV/atom) = 0.0213
- V (Å³/cell) = 264

abc: 3.732 3.732 18.985
angles: 90.00 90.00 90.00
Space group I-42d (No. 122)
Unique sites:
Li (0.223, 0.250, 0.125)
Cr (0.000, 0.000, 0.500)
As (0.000, 0.000, 0.000)

=====

# 4
## LiCrAs2 (PBE)

Data for a relaxed LiCrAs2 crystal.

- energy of formation (eV/atom) = -0.2056
- V (Å³/cell) = 137
- relative energy among the computed polymorphs (meV per atom) = 61

abc: 2.831 3.541 13.665
angles: 90.00 90.00 90.00
Space group Imm2 (No. 44)
Unique sites:
Li (0.000, 0.000, 0.000)
Cr (0.000, 0.500, 0.737)
As (0.000, 0.000, 0.386)
As (0.000, 0.500, 0.155)

=====

# 5
## LiCrAs2 (PBE)

Data for a relaxed LiCrAs2 crystal.

- energy of formation (eV/atom) = -0.2667
- V (Å³/cell) = 193
- relative energy among the computed polymorphs (meV per atom) = 0

abc: 3.1508 3.1508 22.4323
angles: 90.00 90.00 120.00
Space group R-3m (No. 166, hexagonal axes)
Unique sites:
Li (0.0000, 0.0000, 0.0000)
Cr (0.0000, 0.0000, 0.5000)
As (0.0000, 0.0000, 0.2399)

=====

# 6
## LiCrAs2 (PBE)

Data for a relaxed LiCrAs2 crystal.

- energy of formation (eV/atom) = 0.0653
- V (Å³/cell) = 377
- relative energy among the computed polymorphs (meV per atom) = 332

abc: 5.951 5.951 10.642
angles: 90.00 90.00 90.00
Space group I-42d (No. 122)
Unique sites:
Li (0.000, 0.000, 0.000)
Cr (0.000, 0.000, 0.500)
As (0.200, 0.250, 0.625)

=====

# 7
## Li2CrAsN (PBE)

Data for a relaxed Li2CrAsN crystal.

- V (Å³/cell) = 61
- formation energy (no corrections) (eV per atom) = -0.472

abc: 4.014 4.014 3.758
angles: 90.00 90.00 90.00
Space group P4/mmm (No. 123)
Unique sites:
Li (0.000, 0.500, 0.000)
Cr (0.000, 0.000, 0.500)
As (0.500, 0.500, 0.500)
N (0.000, 0.000, 0.000)

=====

# 8
## LiCr2AsN (PBE)

Data for a relaxed LiCr2AsN crystal.

- V (Å³/cell) = 60
- formation energy (no corrections) (eV per atom) = -0.333

abc: 3.905 3.905 3.928
angles: 90.00 90.00 90.00
Space group P4/mmm (No. 123)
Unique sites:
Li (0.000, 0.000, 0.000)
Cr (0.000, 0.500, 0.500)
As (0.500, 0.500, 0.000)
N (0.000, 0.000, 0.500)

=====

# 9
## LiCrAsN2 (PBE)

Data for a relaxed LiCrAsN2 crystal.

- V (Å³/cell) = 68
- formation energy (no corrections) (eV per atom) = 0.345

abc: 3.644 3.644 5.122
angles: 90.00 90.00 90.00
Space group P4/mmm (No. 123)
Unique sites:
Li (0.000, 0.000, 0.000)
Cr (0.500, 0.500, 0.500)
As (0.500, 0.500, 0.000)
N (0.000, 0.500, 0.500)

=====

# 10
## Li2NbCrAs (PBE)

Data for a relaxed Li2NbCrAs crystal.

- energy of formation (eV/atom) = 0.6618
- V (Å³/cell) = 81

abc: 4.235 4.235 4.528
angles: 90.00 90.00 90.00
Space group P4/mmm (No. 123)
Unique sites:
Li (0.000, 0.500, 0.000)
Nb (0.000, 0.000, 0.500)
Cr (0.500, 0.500, 0.500)
As (0.500, 0.500, 0.000)